Record 1
A crystal of ZnRu relaxed with PBEsol. Source: Alexandria, functional meta-GGA SCAN.

a = 2.7979 Å, b = 2.7979 Å, c = 6.7989 Å
α = 90.00°, β = 90.00°, γ = 90.00°
Atoms (fractional coordinates):
1 Zn 0.2500 0.2500 0.1260
2 Zn 0.7500 0.7500 0.8740
3 Ru 0.2500 0.2500 0.6202
4 Ru 0.7500 0.7500 0.3798

Computed properties:
Total moment: 0.00 μB per formula unit
Space group: P4/nmm, No. 129
Energy of formation from the pure elements: -0.0633 eV/atom


Record 2
A crystal of Zn3Ru relaxed with PBEsol. Source: Alexandria, functional meta-GGA SCAN.

a = 5.0585 Å, b = 5.0585 Å, c = 5.0585 Å
α = 148.40°, β = 63.45°, γ = 126.53°
Atoms (fractional coordinates):
1 Zn 0.0000 0.0000 0.0000
2 Zn 0.4128 0.6594 0.7534
3 Zn 0.9060 0.6594 0.2466
4 Ru 0.4926 0.9926 0.5000

Computed properties:
Total moment: 0.98 μB per formula unit
Space group: Imm2, No. 44
Energy of formation from the pure elements: -0.0674 eV/atom


Record 3
A crystal of ZnRu relaxed with PBEsol. Source: Alexandria, functional meta-GGA SCAN.

a = 4.9603 Å, b = 4.9603 Å, c = 4.9603 Å
α = 145.60°, β = 129.38°, γ = 62.64°
Atoms (fractional coordinates):
1 Zn 0.3791 0.1291 0.2500
2 Zn 0.6209 0.8709 0.7500
3 Ru 0.1252 0.3752 0.7500
4 Ru 0.8748 0.6248 0.2500

Computed properties:
Total moment: 0.00 μB per formula unit
Space group: Imma, No. 74
Energy of formation from the pure elements: 0.0788 eV/atom


Record 4
A crystal of Zn22Ru relaxed with PBEsol. Source: Alexandria, functional meta-GGA SCAN.

a = 9.6890 Å, b = 9.6890 Å, c = 9.6890 Å
α = 60.00°, β = 60.00°, γ = 60.00°
Atoms (fractional coordinates):
1 Zn 0.0000 0.0000 0.0000
2 Zn 0.0000 0.0000 0.5000
3 Zn 0.0000 0.5000 0.0000
4 Zn 0.0000 0.5000 0.5000
5 Zn 0.0167 0.0167 0.7333
6 Zn 0.0167 0.7333 0.0167
7 Zn 0.0167 0.7333 0.7333
8 Zn 0.1820 0.1820 0.4416
9 Zn 0.1820 0.1820 0.6944
10 Zn 0.1820 0.4416 0.1820
11 Zn 0.1820 0.4416 0.6944
12 Zn 0.1820 0.6944 0.1820
13 Zn 0.1820 0.6944 0.4416
14 Zn 0.2667 0.2667 0.9833
15 Zn 0.2667 0.9833 0.2667
16 Zn 0.2667 0.9833 0.9833
17 Zn 0.3056 0.5584 0.8180
18 Zn 0.3056 0.8180 0.5584
19 Zn 0.3056 0.8180 0.8180
20 Zn 0.4416 0.1820 0.1820
21 Zn 0.4416 0.1820 0.6944
22 Zn 0.4416 0.6944 0.1820
23 Zn 0.5000 0.0000 0.0000
24 Zn 0.5000 0.0000 0.5000
25 Zn 0.5000 0.5000 0.0000
26 Zn 0.5000 0.5000 0.5000
27 Zn 0.5584 0.3056 0.8180
28 Zn 0.5584 0.8180 0.3056
29 Zn 0.5584 0.8180 0.8180
30 Zn 0.6944 0.1820 0.1820
31 Zn 0.6944 0.1820 0.4416
32 Zn 0.6944 0.4416 0.1820
33 Zn 0.7333 0.0167 0.0167
34 Zn 0.7333 0.0167 0.7333
35 Zn 0.7333 0.7333 0.0167
36 Zn 0.8180 0.3056 0.5584
37 Zn 0.8180 0.3056 0.8180
38 Zn 0.8180 0.5584 0.3056
39 Zn 0.8180 0.5584 0.8180
40 Zn 0.8180 0.8180 0.3056
41 Zn 0.8180 0.8180 0.5584
42 Zn 0.9833 0.2667 0.2667
43 Zn 0.9833 0.2667 0.9833
44 Zn 0.9833 0.9833 0.2667
45 Ru 0.3750 0.3750 0.3750
46 Ru 0.6250 0.6250 0.6250

Computed properties:
Total moment: 0.00 μB per formula unit
Space group: Fd-3m, No. 227
Energy of formation from the pure elements: 0.0539 eV/atom


Record 5
A crystal of ZnRu4 relaxed with PBEsol. Source: Alexandria, functional meta-GGA SCAN.

a = 4.6166 Å, b = 4.6166 Å, c = 4.6166 Å
α = 99.39°, β = 99.39°, γ = 132.36°
Atoms (fractional coordinates):
1 Zn 0.0000 0.0000 0.0000
2 Ru 0.1974 0.4031 0.6005
3 Ru 0.4031 0.8026 0.2058
4 Ru 0.5969 0.1974 0.7942
5 Ru 0.8026 0.5969 0.3995

Computed properties:
Total moment: 0.00 μB per formula unit
Space group: I4/m, No. 87
Energy of formation from the pure elements: 0.1588 eV/atom


Record 6
A crystal of Zn5Ru relaxed with PBEsol. Source: Alexandria, functional meta-GGA SCAN.

a = 6.0880 Å, b = 6.0880 Å, c = 3.7344 Å
α = 90.00°, β = 90.00°, γ = 144.42°
Atoms (fractional coordinates):
1 Zn 0.0000 0.0000 0.0000
2 Zn 0.1645 0.8355 0.5000
3 Zn 0.3348 0.6652 0.0000
4 Zn 0.6652 0.3348 0.0000
5 Zn 0.8355 0.1645 0.5000
6 Ru 0.5000 0.5000 0.5000

Computed properties:
Total moment: 0.00 μB per formula unit
Space group: Cmmm, No. 65
Energy of formation from the pure elements: -0.0798 eV/atom


Record 7
A crystal of Zn7Ru relaxed with PBEsol. Source: Alexandria, functional meta-GGA SCAN.

a = 5.3502 Å, b = 5.3502 Å, c = 5.3502 Å
α = 60.00°, β = 60.00°, γ = 60.00°
Atoms (fractional coordinates):
1 Zn 0.0000 0.0000 0.0000
2 Zn 0.0000 0.0000 0.5000
3 Zn 0.0000 0.5000 0.0000
4 Zn 0.0000 0.5000 0.5000
5 Zn 0.5000 0.0000 0.0000
6 Zn 0.5000 0.0000 0.5000
7 Zn 0.5000 0.5000 0.0000
8 Ru 0.5000 0.5000 0.5000

Computed properties:
Total moment: 0.00 μB per formula unit
Space group: Fm-3m, No. 225
Energy of formation from the pure elements: -0.0773 eV/atom


Record 8
A crystal of Zn3Ru relaxed with PBEsol. Source: Alexandria, functional meta-GGA SCAN.

a = 3.1636 Å, b = 3.1636 Å, c = 5.4154 Å
α = 90.00°, β = 90.00°, γ = 90.00°
Atoms (fractional coordinates):
1 Zn 0.0000 0.0000 0.0000
2 Zn 0.5000 0.5000 0.2609
3 Zn 0.5000 0.5000 0.7391
4 Ru 0.0000 0.0000 0.5000

Computed properties:
Total moment: 0.00 μB per formula unit
Space group: P4/mmm, No. 123
Energy of formation from the pure elements: 0.0044 eV/atom


Record 9
A crystal of ZnRu relaxed with PBEsol. Source: Alexandria, functional meta-GGA SCAN.

a = 3.8641 Å, b = 3.8641 Å, c = 3.8641 Å
α = 60.00°, β = 60.00°, γ = 60.00°
Atoms (fractional coordinates):
1 Zn 0.0000 0.0000 0.0000
2 Ru 0.2500 0.2500 0.2500

Computed properties:
Total moment: 1.86 μB per formula unit
Space group: F-43m, No. 216
Energy of formation from the pure elements: 1.5604 eV/atom


Record 10
A crystal of Zn3Ru relaxed with PBEsol. Source: Alexandria, functional meta-GGA SCAN.

a = 4.7881 Å, b = 4.7881 Å, c = 4.7881 Å
α = 135.41°, β = 135.41°, γ = 64.90°
Atoms (fractional coordinates):
1 Zn 0.0000 0.0000 0.0000
2 Zn 0.2500 0.7500 0.5000
3 Zn 0.7500 0.2500 0.5000
4 Ru 0.5000 0.5000 0.0000

Computed properties:
Total moment: 0.41 μB per formula unit
Space group: I4/mmm, No. 139
Energy of formation from the pure elements: -0.0999 eV/atom


Record 11
A crystal of Zn8Ru relaxed with PBEsol. Source: Alexandria, functional meta-GGA SCAN.

a = 6.0868 Å, b = 6.0868 Å, c = 6.0868 Å
α = 95.06°, β = 95.06°, γ = 145.45°
Atoms (fractional coordinates):
1 Zn 0.0000 0.3319 0.3319
2 Zn 0.0000 0.6681 0.6681
3 Zn 0.3319 0.0000 0.3319
4 Zn 0.3340 0.3340 0.6681
5 Zn 0.3340 0.6660 0.0000
6 Zn 0.6660 0.3340 0.0000
7 Zn 0.6660 0.6660 0.3319
8 Zn 0.6681 0.0000 0.6681
9 Ru 0.0000 0.0000 0.0000

Computed properties:
Total moment: 0.00 μB per formula unit
Space group: I4/mmm, No. 139
Energy of formation from the pure elements: -0.0203 eV/atom


Record 12
A crystal of Zr2ZnRu relaxed with PBEsol. Source: Alexandria, functional meta-GGA SCAN.

a = 3.2329 Å, b = 4.3123 Å, c = 5.2933 Å
α = 90.00°, β = 106.25°, γ = 90.00°
Atoms (fractional coordinates):
1 Zr 0.0000 0.0000 0.0000
2 Zr 0.2787 0.5000 0.5978
3 Zn 0.7082 0.0000 0.4488
4 Ru 0.5535 0.5000 0.1149

Computed properties:
Total moment: 0.00 μB per formula unit
Space group: Pm, No. 6
Energy of formation from the pure elements: -0.4771 eV/atom


Record 13
A crystal of Zr2ZnRu relaxed with PBEsol. Source: Alexandria, functional meta-GGA SCAN.

a = 3.2425 Å, b = 3.2425 Å, c = 6.5866 Å
α = 90.00°, β = 90.00°, γ = 90.00°
Atoms (fractional coordinates):
1 Zr 0.0000 0.0000 0.2433
2 Zr 0.0000 0.0000 0.7567
3 Zn 0.5000 0.5000 0.5000
4 Ru 0.5000 0.5000 0.0000

Computed properties:
Total moment: 0.00 μB per formula unit
Space group: P4/mmm, No. 123
Energy of formation from the pure elements: -0.5584 eV/atom


Record 14
A crystal of Zr3Ru relaxed with PBEsol. Source: Alexandria, functional meta-GGA SCAN.

a = 4.7880 Å, b = 4.7880 Å, c = 3.2762 Å
α = 90.00°, β = 90.00°, γ = 90.00°
Atoms (fractional coordinates):
1 Zr 0.0000 0.0000 0.0000
2 Zr 0.0000 0.5000 0.5000
3 Zr 0.5000 0.0000 0.5000
4 Ru 0.5000 0.5000 0.0000

Computed properties:
Total moment: 0.00 μB per formula unit
Space group: P4/mmm, No. 123
Energy of formation from the pure elements: -0.1997 eV/atom


Record 15
A crystal of Zr3Ru relaxed with PBEsol. Source: Alexandria, functional meta-GGA SCAN.

a = 5.6452 Å, b = 5.6452 Å, c = 5.6452 Å
α = 146.12°, β = 129.18°, γ = 62.49°
Atoms (fractional coordinates):
1 Zr 0.0000 0.0000 0.0000
2 Zr 0.2746 0.7746 0.5000
3 Zr 0.7254 0.2254 0.5000
4 Ru 0.5000 0.5000 0.0000

Computed properties:
Total moment: 0.00 μB per formula unit
Space group: Immm, No. 71
Energy of formation from the pure elements: -0.3660 eV/atom


Record 16
A crystal of Zr3Ru relaxed with PBEsol. Source: Alexandria, functional meta-GGA SCAN.

a = 6.1767 Å, b = 9.1404 Å, c = 5.7134 Å
α = 90.00°, β = 90.00°, γ = 90.00°
Atoms (fractional coordinates):
1 Zr 0.0376 0.2500 0.1661
2 Zr 0.2059 0.0529 0.6316
3 Zr 0.2059 0.4471 0.6316
4 Zr 0.2941 0.5529 0.1316
5 Zr 0.2941 0.9471 0.1316
6 Zr 0.4624 0.7500 0.6661
7 Zr 0.5376 0.2500 0.3339
8 Zr 0.7059 0.0529 0.8684
9 Zr 0.7059 0.4471 0.8684
10 Zr 0.7941 0.5529 0.3684
11 Zr 0.7941 0.9471 0.3684
12 Zr 0.9624 0.7500 0.8339
13 Ru 0.1093 0.7500 0.3856
14 Ru 0.3907 0.2500 0.8856
15 Ru 0.6093 0.7500 0.1144
16 Ru 0.8907 0.2500 0.6144

Computed properties:
Total moment: 0.00 μB per formula unit
Space group: Pnma, No. 62
Energy of formation from the pure elements: -0.3243 eV/atom


Record 17
A crystal of Zr3Ru relaxed with PBEsol. Source: Alexandria, functional meta-GGA SCAN.

a = 3.2459 Å, b = 3.2459 Å, c = 7.3287 Å
α = 90.00°, β = 90.00°, γ = 90.00°
Atoms (fractional coordinates):
1 Zr 0.0000 0.0000 0.0000
2 Zr 0.5000 0.5000 0.2820
3 Zr 0.5000 0.5000 0.7180
4 Ru 0.0000 0.0000 0.5000

Computed properties:
Total moment: 0.00 μB per formula unit
Space group: P4/mmm, No. 123
Energy of formation from the pure elements: -0.3616 eV/atom


Record 18
A crystal of S relaxed with PBEsol. Source: Alexandria, functional meta-GGA SCAN.

a = 4.3796 Å, b = 4.3796 Å, c = 4.3903 Å
α = 90.00°, β = 90.00°, γ = 120.00°
Atoms (fractional coordinates):
1 S 0.0000 0.1930 0.1667
2 S 0.1930 0.0000 0.8333
3 S 0.8070 0.8070 0.5000

Computed properties:
Total moment: 0.00 μB per formula unit
Space group: P3_121, No. 152
Energy above the most stable polymorph in this dataset: 4.2 kJ/mol of atoms


Record 19
A crystal of S relaxed with PBEsol. Source: Alexandria, functional meta-GGA SCAN.

a = 10.6934 Å, b = 10.6934 Å, c = 8.5973 Å
α = 98.52°, β = 98.52°, γ = 52.33°
Atoms (fractional coordinates):
1 S 0.0102 0.4082 0.7897
2 S 0.0277 0.0716 0.3154
3 S 0.0337 0.3742 0.1602
4 S 0.0716 0.0277 0.8154
5 S 0.1341 0.7622 0.5227
6 S 0.1733 0.2768 0.9702
7 S 0.1861 0.5493 0.5623
8 S 0.2378 0.8659 0.9773
9 S 0.2768 0.1733 0.4702
10 S 0.3362 0.4539 0.7603
11 S 0.3415 0.5592 0.1851
12 S 0.3742 0.0337 0.6602
13 S 0.4082 0.0102 0.2897
14 S 0.4408 0.6585 0.3149
15 S 0.4507 0.8139 0.9377
16 S 0.4539 0.3362 0.2603
17 S 0.5461 0.6638 0.7397
18 S 0.5493 0.1861 0.0623
19 S 0.5592 0.3415 0.6851
20 S 0.5918 0.9898 0.7103
21 S 0.6258 0.9663 0.3398
22 S 0.6585 0.4408 0.8149
23 S 0.6638 0.5461 0.2397
24 S 0.7232 0.8267 0.5298
25 S 0.7622 0.1341 0.0227
26 S 0.8139 0.4507 0.4377
27 S 0.8267 0.7232 0.0298
28 S 0.8659 0.2378 0.4773
29 S 0.9284 0.9723 0.1846
30 S 0.9663 0.6258 0.8398
31 S 0.9723 0.9284 0.6846
32 S 0.9898 0.5918 0.2103

Computed properties:
Total moment: 0.00 μB per formula unit
Space group: C2/c, No. 15
Energy above the most stable polymorph in this dataset: 3.3 kJ/mol of atoms


Record 20
A crystal of S relaxed with PBEsol. Source: Alexandria, functional meta-GGA SCAN.

a = 4.5983 Å, b = 9.0338 Å, c = 14.6674 Å
α = 90.00°, β = 90.00°, γ = 90.00°
Atoms (fractional coordinates):
1 S 0.0000 0.0000 0.2279
2 S 0.0000 0.0000 0.7721
3 S 0.0019 0.3200 0.1140
4 S 0.0019 0.3200 0.8860
5 S 0.2421 0.1340 0.1437
6 S 0.2421 0.1340 0.8563
7 S 0.2419 0.7262 0.0000
8 S 0.2581 0.2262 0.5000
9 S 0.2579 0.6340 0.3563
10 S 0.2579 0.6340 0.6437
11 S 0.4981 0.8200 0.3860
12 S 0.4981 0.8200 0.6140
13 S 0.5000 0.5000 0.2721
14 S 0.5000 0.5000 0.7279
15 S 0.5019 0.1800 0.3860
16 S 0.5019 0.1800 0.6140
17 S 0.7421 0.3660 0.3563
18 S 0.7421 0.3660 0.6437
19 S 0.7419 0.7738 0.5000
20 S 0.7581 0.2738 0.0000
21 S 0.7579 0.8660 0.1437
22 S 0.7579 0.8660 0.8563
23 S 0.9981 0.6800 0.1140
24 S 0.9981 0.6800 0.8860

Computed properties:
Total moment: 0.00 μB per formula unit
Space group: Pnnm, No. 58
Energy above the most stable polymorph in this dataset: 0.8 kJ/mol of atoms